No. 1
PBE PrDyH4, optimized geometry; space-group type = P4/mmm, No. 123
1.0
3.758 0.000 0.000
0.000 3.758 0.000
0.000 0.000 5.392
Pr Dy H
1 1 4
Direct
0.000 0.000 0.000 Pr
0.500 0.500 0.500 Dy
0.000 0.500 0.269 H
0.000 0.500 0.731 H
0.500 0.000 0.269 H
0.500 0.000 0.731 H

No. 2
PBE TbDyH4, optimized geometry; space-group type = P4/mmm, No. 123
1.0
3.665 0.000 0.000
0.000 3.665 0.000
0.000 0.000 5.181
Tb Dy H
1 1 4
Direct
0.000 0.000 0.000 Tb
0.500 0.500 0.500 Dy
0.000 0.500 0.251 H
0.000 0.500 0.749 H
0.500 0.000 0.251 H
0.500 0.000 0.749 H

No. 3
PBE DyYH4, optimized geometry; space-group type = P4/mmm, No. 123
1.0
3.650 0.000 0.000
0.000 3.650 0.000
0.000 0.000 5.161
Dy Y H
1 1 4
Direct
0.000 0.000 0.000 Dy
0.500 0.500 0.500 Y
0.000 0.500 0.250 H
0.000 0.500 0.750 H
0.500 0.000 0.250 H
0.500 0.000 0.750 H

No. 4
PBE DyHf, optimized geometry; excess energy over the best structure of this formula in the dataset = 0 meV/atom; space-group type = P-6m2, No. 187; formation energy from the elements = 0.15 eV/atom
1.0
3.361 0.000 0.000
-1.680 2.911 0.000
0.000 0.000 5.334
Dy Hf
1 1
Direct
0.000 0.000 0.000 Dy
0.667 0.333 0.500 Hf

No. 5
PBE DyHf, optimized geometry; excess energy over the best structure of this formula in the dataset = 2304 meV/atom; space-group type = F-43m, No. 216; formation energy from the elements = 2.46 eV/atom
1.0
6.496 0.000 0.000
0.000 6.496 0.000
0.000 0.000 6.496
Dy Hf
4 4
Direct
0.000 0.000 0.000 Dy
0.000 0.500 0.500 Dy
0.500 0.000 0.500 Dy
0.500 0.500 0.000 Dy
0.250 0.250 0.750 Hf
0.250 0.750 0.250 Hf
0.750 0.250 0.250 Hf
0.750 0.750 0.750 Hf

No. 6
PBE DyHf2, optimized geometry; excess energy over the best structure of this formula in the dataset = 0 meV/atom; space-group type = I4/mmm, No. 139; formation energy from the elements = 0.13 eV/atom
1.0
3.193 0.000 0.000
0.000 3.193 0.000
0.000 0.000 14.709
Dy Hf
2 4
Direct
0.000 0.000 0.000 Dy
0.500 0.500 0.500 Dy
0.000 0.000 0.320 Hf
0.000 0.000 0.680 Hf
0.500 0.500 0.180 Hf
0.500 0.500 0.820 Hf

No. 7
PBE DyHf2, optimized geometry; excess energy over the best structure of this formula in the dataset = 3422 meV/atom; space-group type = Fd-3m, No. 227; formation energy from the elements = 3.55 eV/atom
1.0
0.000 6.318 6.318
6.318 0.000 6.318
6.318 6.318 0.000
Dy Hf
2 4
Direct
0.125 0.125 0.125 Dy
0.875 0.875 0.875 Dy
0.000 0.000 0.000 Hf
0.000 0.000 0.500 Hf
0.000 0.500 0.000 Hf
0.500 0.000 0.000 Hf

No. 8
PBE DyHf, optimized geometry; excess energy over the best structure of this formula in the dataset = 988 meV/atom; space-group type = Fm-3m, No. 225; formation energy from the elements = 1.14 eV/atom
1.0
6.091 0.000 0.000
0.000 6.091 0.000
0.000 0.000 6.091
Dy Hf
4 4
Direct
0.000 0.000 0.000 Dy
0.000 0.500 0.500 Dy
0.500 0.000 0.500 Dy
0.500 0.500 0.000 Dy
0.000 0.000 0.500 Hf
0.000 0.500 0.000 Hf
0.500 0.000 0.000 Hf
0.500 0.500 0.500 Hf

| no. | total energy (eV/atom) |
| --- | --- |
| 1 | -4.46 |
| 2 | -4.48 |
| 3 | -4.79 |
| 4 | -7.12 |
| 5 | -4.82 |
| 6 | -8.05 |
| 7 | -4.62 |
| 8 | -6.14 |